Density functional theory data (GGA-PBE) for an optimized crystal structure of La2TbPuP4.

Unit cell a=7.155 b=4.146 c=7.176 alpha=90.00 beta=109.45 gamma=90.00
Element x y z (fractional)
La 0.000 0.000 0.000
La 0.500 0.500 0.000
Tb 0.000 0.500 0.500
Pu 0.500 0.000 0.500
P 0.248 0.000 0.735
P 0.259 0.500 0.268
P 0.741 0.500 0.732
P 0.752 0.000 0.265

Calculated values
Formation energy from the elements   -140.04 kJ/mol of atoms
Space-group type   P2/m (10)

---

Density functional theory data (GGA-PBE) for an optimized crystal structure of LaTb2PuP4.

Unit cell a=7.061 b=4.089 c=7.071 alpha=90.00 beta=109.50 gamma=90.00
Element x y z (fractional)
La 0.000 0.000 0.000
Tb 0.500 0.000 0.500
Tb 0.500 0.500 0.000
Pu 0.000 0.500 0.500
P 0.250 0.000 0.741
P 0.257 0.500 0.261
P 0.743 0.500 0.739
P 0.750 0.000 0.259

Calculated values
Formation energy from the elements   -140.63 kJ/mol of atoms
Space-group type   P2/m (10)

---

Density functional theory data (GGA-PBE) for an optimized crystal structure of LaPuTeP.

Unit cell a=7.640 b=7.640 c=7.640 alpha=32.54 beta=32.54 gamma=32.54
Element x y z (fractional)
La 0.000 0.000 0.000
Pu 0.522 0.522 0.522
Te 0.765 0.765 0.765
P 0.257 0.257 0.257

Calculated values
Raw formation energy   -5.6 eV/f.u.
Space-group type   R3m (160)